The following is a PBE calculation of crystalline Dy6Y5 at its relaxed geometry, from Alexandria.

POSCAR file:
```
Dy6Y5
1.0
-3.029 4.623 0.209
-3.031 -5.601 6.791
8.946 2.533 0.464
Y Dy
5 6
Direct
0.500 0.798 0.202
0.000 0.661 0.339
0.500 0.500 0.500
0.500 0.202 0.798
0.000 0.339 0.661
0.205 0.341 0.068
0.205 0.068 0.341
0.795 0.932 0.659
0.705 0.205 0.205
0.795 0.659 0.932
0.295 0.795 0.795
```

ΔH_f (0 K) in kJ per mole of atoms: 11.2
Offset from the most stable computed form in eV per atom: 0.000
Uncorrected energy in eV/atom: -5.333
SG: Immm (71)


The following is a PBE calculation of crystalline GaN2OF at its relaxed geometry, from Alexandria.

POSCAR file:
```
GaN2OF
1.0
-3.515 -0.602 2.064
1.950 -2.560 2.574
0.816 2.857 2.224
F N O Ga
1 2 1 1
Direct
0.500 0.500 0.500
0.000 0.500 0.000
0.500 0.000 0.000
0.000 0.000 0.500
0.000 0.000 0.000
```

Uncorrected energy in eV/atom: -3.995
Raw formation energy in meV per atom: 1306
SG: P4/mmm (123)


The following is a PBE calculation of crystalline NdMg2Zn2Sn2 at its relaxed geometry, from Alexandria.

POSCAR file:
```
NdMg2Zn2Sn2
1.0
-2.187 3.602 2.220
-3.340 2.522 -2.274
-7.539 -3.075 2.673
Mg Sn Nd Zn
2 2 1 2
Direct
0.137 0.137 0.588
0.863 0.863 0.412
0.742 0.742 0.775
0.258 0.258 0.225
0.000 0.000 0.000
0.556 0.556 0.333
0.444 0.444 0.667
```

ΔH_f (0 K) in kJ per mole of atoms: -25.8
Uncorrected energy in eV/atom: -2.912
SG: R-3m (166)


The following is a PBE calculation of crystalline K2HgW at its relaxed geometry, from Alexandria.

POSCAR file:
```
K2HgW
1.0
5.697 0.000 0.000
0.000 4.551 0.000
0.000 0.000 4.551
Hg K W
1 2 1
Direct
0.500 0.000 0.500
0.000 0.500 0.500
0.000 0.000 0.000
0.500 0.500 0.000
```

ΔH_f (0 K) in kJ per mole of atoms: 129.8
Uncorrected energy in eV/atom: -2.517
SG: P4/mmm (123)


The following is a PBE calculation of crystalline BaPbS2 at its relaxed geometry, from Alexandria.

POSCAR file:
```
BaPbS2
1.0
2.530 0.000 8.865
-1.265 2.191 8.865
-1.265 -2.191 8.865
Pb S Ba
1 2 1
Direct
0.500 0.500 0.500
0.109 0.109 0.109
0.891 0.891 0.891
0.000 0.000 0.000
```

Uncorrected energy in eV/atom: -3.971
Raw formation energy in meV per atom: -499
SG: R-3m (166)


The following is a PBE calculation of crystalline CaRh2Pb at its relaxed geometry, from Alexandria.

POSCAR file:
```
CaRh2Pb
1.0
-2.729 2.453 2.661
-0.628 -2.724 1.867
3.728 -0.211 4.018
Rh Pb Ca
2 1 1
Direct
0.500 0.046 0.281
0.000 0.208 0.965
0.500 0.775 0.826
0.000 0.471 0.427
```

ΔH_f (0 K) in kJ per mole of atoms: -18.7
Uncorrected energy in eV/atom: -5.297
SG: Pm (6)